(1)
Entry from Alexandria via LeMat-Bulk: a geometry-optimized InAgPb structure (GGA-PBE).

Properties
Formation enthalpy at 0 K, meV per atom: 31
DOS at the Fermi energy, states/eV/atom: 0.40
E, eV/f.u.: -9.2

Cell lengths 3.988, 5.871, 7.240 Å; angles 76.91, 74.06, 70.92 degrees
Space group P-1 (No. 2)
Symmetry-distinct sites (fractional):
In (0.158, 0.240, 0.448) x2
Ag (0.142, 0.894, 0.821) x2
Pb (0.411, 0.326, 0.854) x2



(2)
Entry from Alexandria via LeMat-Bulk: a geometry-optimized ScOsPbS2 structure (GGA-PBE).

Properties
DOS at the Fermi energy, states/eV/atom: 0.66
E, eV/f.u.: -29.0

Cell lengths 4.558, 4.558, 5.360 Å; angles 90.00, 90.00, 90.00 degrees
Space group P4/mmm (No. 123)
Symmetry-distinct sites (fractional):
Sc (0.000, 0.000, 0.000) x1
Os (0.000, 0.000, 0.500) x1
Pb (0.500, 0.500, 0.000) x1
S (0.000, 0.500, 0.500) x2



(3)
Entry from Alexandria via LeMat-Bulk: a geometry-optimized Li2MnPt3 structure (GGA-PBE).

Properties
Formation enthalpy at 0 K, meV per atom: -364
DOS at the Fermi energy, states/eV/atom: 0.78
E, eV/f.u.: -33.3

Cell lengths 3.814, 11.823, 7.230 Å; angles 90.00, 90.00, 90.00 degrees
Space group Cmmm (No. 65)
Symmetry-distinct sites (fractional):
Li (0.000, 0.000, 0.000) x2
Li (0.000, 0.000, 0.500) x2
Li (0.000, 0.332, 0.000) x4
Mn (0.000, 0.316, 0.500) x4
Pt (0.000, 0.164, 0.256) x8
Pt (0.000, 0.500, 0.268) x4



(4)
Entry from Alexandria via LeMat-Bulk: a geometry-optimized TlSb2Pb structure (GGA-PBE).

Properties
DOS at the Fermi energy, states/eV/atom: 0.55
E, eV/f.u.: -13.7

Cell lengths 4.3563, 4.3563, 23.3644 Å; angles 90.00, 90.00, 120.00 degrees
Space group R3m (No. 160, hexagonal axes)
Symmetry-distinct sites (fractional):
Tl (0.0000, 0.0000, 0.0000) x3
Sb (0.0000, 0.0000, 0.5842) x3
Sb (0.0000, 0.0000, 0.7514) x3
Pb (0.0000, 0.0000, 0.1683) x3



(5)
Entry from Alexandria via LeMat-Bulk: a geometry-optimized AcHg6Pd2 structure (GGA-PBE).

Properties
Formation enthalpy at 0 K, meV per atom: -108
DOS at the Fermi energy, states/eV/atom: 0.43
E, eV/f.u.: -17.3

Cell lengths 13.247, 9.069, 3.965 Å; angles 90.00, 107.33, 90.00 degrees
Space group C2/m (No. 12)
Symmetry-distinct sites (fractional):
Ac (0.000, 0.000, 0.000) x2
Hg (0.000, 0.332, 0.500) x4
Hg (0.195, 0.161, 0.695) x8
Pd (0.113, 0.500, 0.113) x4



(6)
Entry from Alexandria via LeMat-Bulk: a geometry-optimized KNbO3 structure (GGA-PBE).

Properties
DOS at the Fermi energy, states/eV/atom: 0.00
E, eV/f.u.: -38.1

Cell lengths 10.934, 3.855, 7.689 Å; angles 90.00, 99.53, 90.00 degrees
Space group C2/m (No. 12)
Symmetry-distinct sites (fractional):
K (0.121, 0.000, 0.394) x4
Nb (0.123, 0.500, 0.895) x4
O (0.051, 0.500, 0.162) x4
O (0.150, 0.500, 0.666) x4
O (0.172, 0.000, 0.955) x4



(7)
Entry from Alexandria via LeMat-Bulk: a geometry-optimized UReTc2 structure (GGA-PBE).

Properties
Formation enthalpy at 0 K, meV per atom: 49
DOS at the Fermi energy, states/eV/atom: 0.87
E, eV/f.u.: -44.3

Cell lengths 3.004, 3.004, 7.397 Å; angles 90.00, 90.00, 90.00 degrees
Space group P4/mmm (No. 123)
Symmetry-distinct sites (fractional):
U (0.000, 0.000, 0.000) x1
Re (0.000, 0.000, 0.500) x1
Tc (0.500, 0.500, 0.285) x2



(8)
Entry from Alexandria via LeMat-Bulk: a geometry-optimized TaCrSe6 structure (GGA-PBE).

Properties
DOS at the Fermi energy, states/eV/atom: 0.41
E, eV/f.u.: -44.8

Cell lengths 6.215, 6.264, 6.319 Å; angles 70.53, 61.31, 61.21 degrees
Space group P-1 (No. 2)
Symmetry-distinct sites (fractional):
Ta (0.000, 0.000, 0.000) x1
Cr (0.500, 0.500, 0.500) x1
Se (0.038, 0.752, 0.741) x2
Se (0.316, 0.590, 0.180) x2
Se (0.408, 0.104, 0.676) x2



(9)
Entry from Alexandria via LeMat-Bulk: a geometry-optimized Li3MgCu3 structure (GGA-PBE).

Properties
Formation enthalpy at 0 K, meV per atom: 538
DOS at the Fermi energy, states/eV/atom: 0.27
E, eV/f.u.: -15.9

Cell lengths 6.457, 6.457, 6.457 Å; angles 90.00, 90.00, 90.00 degrees
Space group Pm-3n (No. 223)
Symmetry-distinct sites (fractional):
Li (0.000, 0.250, 0.500) x6
Mg (0.000, 0.000, 0.000) x2
Cu (0.000, 0.500, 0.250) x6



(10)
Entry from Alexandria via LeMat-Bulk: a geometry-optimized YFeRu structure (GGA-PBE).

Properties
Formation enthalpy at 0 K, meV per atom: 30
DOS at the Fermi energy, states/eV/atom: 1.16
E, eV/f.u.: -24.1

Cell lengths 3.368, 13.983, 4.535 Å; angles 90.00, 90.00, 90.00 degrees
Space group Cmcm (No. 63)
Symmetry-distinct sites (fractional):
Y (0.000, 0.087, 0.250) x4
Fe (0.000, 0.238, 0.750) x4
Ru (0.000, 0.400, 0.250) x4



(11)
Entry from Alexandria via LeMat-Bulk: a geometry-optimized GdPuMg2 structure (GGA-PBE).

Properties
Formation enthalpy at 0 K, meV per atom: 86
DOS at the Fermi energy, states/eV/atom: 2.09
Energy relative to the lowest polymorph listed for this composition, meV per atom: 0.1
E, eV/f.u.: -31.3

Cell lengths 3.672, 3.672, 8.102 Å; angles 90.00, 90.00, 90.00 degrees
Space group P4/mmm (No. 123)
Symmetry-distinct sites (fractional):
Gd (0.000, 0.000, 0.000) x1
Pu (0.000, 0.000, 0.500) x1
Mg (0.500, 0.500, 0.249) x2



(12)
Entry from Alexandria via LeMat-Bulk: a geometry-optimized V2TcP structure (GGA-PBE).

Properties
Formation enthalpy at 0 K, meV per atom: 93
DOS at the Fermi energy, states/eV/atom: 0.91
E, eV/f.u.: -33.6

Cell lengths 6.583, 6.583, 5.230 Å; angles 90.00, 90.00, 90.00 degrees
Space group I-42d (No. 122)
Symmetry-distinct sites (fractional):
V (0.225, 0.250, 0.125) x8
Tc (0.000, 0.000, 0.500) x4
P (0.000, 0.000, 0.000) x4



Please write out number 12 again, unchanged.
Entry from Alexandria via LeMat-Bulk: a geometry-optimized V2TcP structure (GGA-PBE).

Properties
Formation enthalpy at 0 K, meV per atom: 93
DOS at the Fermi energy, states/eV/atom: 0.91
E, eV/f.u.: -33.6

Cell lengths 6.583, 6.583, 5.230 Å; angles 90.00, 90.00, 90.00 degrees
Space group I-42d (No. 122)
Symmetry-distinct sites (fractional):
V (0.225, 0.250, 0.125) x8
Tc (0.000, 0.000, 0.500) x4
P (0.000, 0.000, 0.000) x4



DOS at the Fermi energy of number 2 (ScOsPbS2)? 0.66 states/eV/atom



Copy entry 9 word for word.
Entry from Alexandria via LeMat-Bulk: a geometry-optimized Li3MgCu3 structure (GGA-PBE).

Properties
Formation enthalpy at 0 K, meV per atom: 538
DOS at the Fermi energy, states/eV/atom: 0.27
E, eV/f.u.: -15.9

Cell lengths 6.457, 6.457, 6.457 Å; angles 90.00, 90.00, 90.00 degrees
Space group Pm-3n (No. 223)
Symmetry-distinct sites (fractional):
Li (0.000, 0.250, 0.500) x6
Mg (0.000, 0.000, 0.000) x2
Cu (0.000, 0.500, 0.250) x6